First-principles (PBE-GGA) data for Zn4AgAu3 after structural relaxation, as listed in Alexandria.

Cell: 7.8499 7.8499 7.8499 Å, 33.29 33.29 33.29°
Closest atoms and distances in Å follow each position.
Fractional coordinates of all 8 atoms:
1 Zn 0.1232 0.1232 0.1232  5 Au 2.72-2.74, 3 Ag 2.77
2 Zn 0.3730 0.3730 0.3730  7 Au 2.74-2.82, 1 Ag 2.82
3 Zn 0.6270 0.6270 0.6270  7 Au 2.74-2.82, 1 Ag 2.82
4 Zn 0.8768 0.8768 0.8768  5 Au 2.72-2.74, 3 Ag 2.77
5 Ag 0.5000 0.5000 0.5000  8 Zn 2.77-2.82
6 Au 0.0000 0.0000 0.0000  8 Zn 2.74
7 Au 0.2460 0.2460 0.2460  8 Zn 2.72-2.82
8 Au 0.7540 0.7540 0.7540  8 Zn 2.72-2.82

Space-group type: R-3m, No. 166
Energy of formation from the pure elements in eV per atom: -0.174